{
  "formula": "Pm6CoNi2Cl3",
  "functional": "PBE-GGA",
  "state": "optimized geometry",
  "lattice": [[-2.210, 3.529, 5.512], [2.679, -6.318, 0.789], [6.617, 3.903, -1.288]],
  "species": ["Cl", "Cl", "Cl", "Ni", "Ni", "Co", "Pm", "Pm", "Pm", "Pm", "Pm", "Pm"],
  "fractional_positions": [[0.165, 0.835, 0.500], [0.835, 0.165, 0.500], [0.500, 0.500, 0.500], [0.333, 0.667, 0.000], [0.667, 0.333, 0.000], [0.000, 0.000, 0.000], [0.607, 0.933, 0.799], [0.259, 0.259, 0.799], [0.067, 0.393, 0.201], [0.933, 0.607, 0.799], [0.393, 0.067, 0.201], [0.741, 0.741, 0.201]],
  "spacegroup": "C2/m, No. 12",
  "magmom_total_mub_per_fu": 0.000
}

=====

{
  "formula": "Pr6Co2NiCl3",
  "functional": "PBE-GGA",
  "state": "optimized geometry",
  "lattice": [[4.023, 0.000, 0.000], [0.000, 8.886, -0.265], [-2.012, -3.171, 9.008]],
  "species": ["Pr", "Pr", "Pr", "Pr", "Pr", "Pr", "Cl", "Cl", "Cl", "Co", "Co", "Ni"],
  "fractional_positions": [[0.659, 0.113, 0.318], [0.012, 0.227, 0.025], [0.988, 0.773, 0.975], [0.341, 0.887, 0.682], [0.321, 0.445, 0.643], [0.679, 0.555, 0.357], [0.167, 0.833, 0.334], [0.833, 0.167, 0.666], [0.500, 0.500, 0.000], [0.835, 0.670, 0.669], [0.165, 0.330, 0.331], [0.500, 0.000, 0.000]],
  "spacegroup": "C2/m, No. 12",
  "magmom_total_mub_per_fu": 0.000
}

=====

{
  "formula": "Pr8Co3NiCl4",
  "functional": "PBE-GGA",
  "state": "optimized geometry",
  "lattice": [[-5.161, 2.654, -5.550], [-6.083, 1.400, 6.325], [7.107, 3.620, 0.932]],
  "species": ["Cl", "Cl", "Cl", "Cl", "Pr", "Pr", "Pr", "Pr", "Pr", "Pr", "Pr", "Pr", "Co", "Co", "Co", "Ni"],
  "fractional_positions": [[0.500, 0.000, 0.000], [0.500, 0.000, 0.500], [0.000, 0.000, 0.000], [0.000, 0.000, 0.500], [0.271, 0.298, 0.034], [0.266, 0.297, 0.531], [0.763, 0.298, 0.034], [0.764, 0.298, 0.527], [0.729, 0.702, 0.966], [0.734, 0.703, 0.469], [0.237, 0.702, 0.966], [0.236, 0.702, 0.473], [0.000, 0.500, 0.500], [0.500, 0.500, 0.000], [0.500, 0.500, 0.500], [0.000, 0.500, 0.000]],
  "spacegroup": "R-3m, No. 166",
  "magmom_total_mub_per_fu": 0.000
}

=====

{
  "formula": "RbCoNi2Cl8",
  "functional": "PBE-GGA",
  "state": "optimized geometry",
  "lattice": [[6.112, 0.000, 0.000], [3.056, 5.293, 0.000], [3.056, 1.764, 9.491]],
  "species": ["Cl", "Cl", "Cl", "Cl", "Cl", "Cl", "Cl", "Cl", "Co", "Ni", "Ni", "Rb"],
  "fractional_positions": [[0.743, 0.051, 0.858], [0.949, 0.651, 0.142], [0.651, 0.257, 0.142], [0.811, 0.811, 0.568], [0.051, 0.349, 0.858], [0.349, 0.743, 0.858], [0.189, 0.189, 0.432], [0.257, 0.949, 0.142], [0.000, 0.000, 0.000], [0.734, 0.734, 0.799], [0.266, 0.266, 0.201], [0.500, 0.500, 0.500]],
  "spacegroup": "R-3, No. 148",
  "magmom_total_mub_per_fu": 4.018
}

=====

{
  "formula": "RbCoNiCl6",
  "functional": "PBE-GGA",
  "state": "optimized geometry",
  "lattice": [[6.104, 0.000, 0.000], [3.052, 5.286, 0.000], [0.000, 0.000, 7.446]],
  "species": ["Cl", "Cl", "Cl", "Cl", "Cl", "Cl", "Co", "Ni", "Rb"],
  "fractional_positions": [[0.360, 0.624, 0.326], [0.016, 0.360, 0.326], [0.624, 0.016, 0.326], [0.360, 0.016, 0.674], [0.624, 0.360, 0.674], [0.016, 0.624, 0.674], [0.333, 0.333, 0.500], [0.667, 0.667, 0.500], [0.000, 0.000, 0.000]],
  "spacegroup": "P312, No. 149",
  "magmom_total_mub_per_fu": 2.089
}

=====

{
  "formula": "RbCo2NiCl8",
  "functional": "PBE-GGA",
  "state": "optimized geometry",
  "lattice": [[-4.637, -0.635, 4.073], [1.219, -1.648, 5.857], [-0.289, 8.366, 5.700]],
  "species": ["Cl", "Cl", "Cl", "Cl", "Cl", "Cl", "Cl", "Cl", "Rb", "Ni", "Co", "Co"],
  "fractional_positions": [[0.634, 0.267, 0.150], [0.733, 0.051, 0.850], [0.949, 0.634, 0.150], [0.267, 0.949, 0.150], [0.366, 0.733, 0.850], [0.051, 0.366, 0.850], [0.184, 0.184, 0.449], [0.816, 0.816, 0.551], [0.500, 0.500, 0.500], [0.000, 0.000, 0.000], [0.739, 0.739, 0.783], [0.261, 0.261, 0.217]],
  "spacegroup": "R-3, No. 148",
  "magmom_total_mub_per_fu": 9.067
}

=====

{
  "formula": "CoNiSeCl2",
  "functional": "PBE-GGA",
  "state": "optimized geometry",
  "lattice": [[4.371, 0.000, 0.000], [0.000, 5.266, 0.000], [0.000, 0.000, 4.371]],
  "species": ["Cl", "Cl", "Ni", "Se", "Co"],
  "fractional_positions": [[0.000, 0.000, 0.500], [0.500, 0.000, 0.000], [0.500, 0.500, 0.500], [0.000, 0.500, 0.000], [0.000, 0.000, 0.000]],
  "spacegroup": "P4/mmm, No. 123",
  "magmom_total_mub_per_fu": 2.811
}

=====

{
  "formula": "Sm6Co2NiCl3",
  "functional": "PBE-GGA",
  "state": "optimized geometry",
  "lattice": [[-1.524, 3.144, -1.823], [-6.894, -4.751, -2.431], [-0.686, 2.528, 9.195]],
  "species": ["Ni", "Sm", "Sm", "Sm", "Sm", "Sm", "Sm", "Cl", "Cl", "Cl", "Co", "Co"],
  "fractional_positions": [[0.500, 0.000, 0.000], [0.012, 0.227, 0.025], [0.321, 0.446, 0.641], [0.658, 0.113, 0.317], [0.988, 0.773, 0.975], [0.342, 0.887, 0.683], [0.679, 0.554, 0.359], [0.833, 0.167, 0.666], [0.500, 0.500, 0.000], [0.167, 0.833, 0.334], [0.835, 0.670, 0.670], [0.165, 0.330, 0.330]],
  "spacegroup": "C2/m, No. 12",
  "magmom_total_mub_per_fu": 0.000
}

=====

{
  "formula": "Sm6CoNi2Cl3",
  "functional": "PBE-GGA",
  "state": "optimized geometry",
  "lattice": [[-0.771, 5.885, -3.456], [-1.083, -6.003, -3.155], [-6.519, 0.277, 4.200]],
  "species": ["Sm", "Sm", "Sm", "Sm", "Sm", "Sm", "Ni", "Ni", "Co", "Cl", "Cl", "Cl"],
  "fractional_positions": [[0.259, 0.259, 0.799], [0.741, 0.741, 0.201], [0.393, 0.067, 0.201], [0.607, 0.933, 0.799], [0.933, 0.607, 0.799], [0.067, 0.393, 0.201], [0.667, 0.333, 0.000], [0.333, 0.667, 0.000], [0.000, 0.000, 0.000], [0.165, 0.835, 0.500], [0.835, 0.165, 0.500], [0.500, 0.500, 0.500]],
  "spacegroup": "C2/m, No. 12",
  "magmom_total_mub_per_fu": 0.000
}

=====

{
  "formula": "Sm8CoNi3Cl4",
  "functional": "PBE-GGA",
  "state": "optimized geometry",
  "lattice": [[-6.408, 4.132, -2.203], [-3.122, -7.025, -4.093], [1.762, -0.782, 7.701]],
  "species": ["Sm", "Sm", "Sm", "Sm", "Sm", "Sm", "Sm", "Sm", "Cl", "Cl", "Cl", "Cl", "Ni", "Ni", "Ni", "Co"],
  "fractional_positions": [[0.769, 0.299, 0.538], [0.266, 0.299, 0.533], [0.261, 0.299, 0.030], [0.231, 0.701, 0.970], [0.769, 0.299, 0.030], [0.231, 0.701, 0.462], [0.734, 0.701, 0.467], [0.739, 0.701, 0.970], [0.000, 0.000, 0.000], [0.000, 0.000, 0.500], [0.500, 0.000, 0.000], [0.500, 0.000, 0.500], [0.500, 0.500, 0.500], [0.000, 0.500, 0.500], [0.500, 0.500, 0.000], [0.000, 0.500, 0.000]],
  "spacegroup": "R-3m, No. 166",
  "magmom_total_mub_per_fu": 0.000
}

=====

{
  "formula": "CoNiSnCl6",
  "functional": "PBE-GGA",
  "state": "optimized geometry",
  "lattice": [[6.305, 0.015, -0.008], [3.166, 5.453, 0.008], [-0.008, 0.014, 6.147]],
  "species": ["Cl", "Cl", "Cl", "Cl", "Cl", "Cl", "Co", "Sn", "Ni"],
  "fractional_positions": [[0.372, 0.632, 0.277], [0.369, 0.997, 0.720], [0.997, 0.369, 0.280], [0.997, 0.636, 0.722], [0.632, 0.372, 0.723], [0.636, 0.997, 0.278], [0.332, 0.333, 0.500], [0.999, 0.999, 0.000], [0.666, 0.666, 0.500]],
  "spacegroup": "C2, No. 5",
  "magmom_total_mub_per_fu": 5.010
}

=====

{
  "formula": "TlCoNiCl6",
  "functional": "PBE-GGA",
  "state": "optimized geometry",
  "lattice": [[6.096, 0.000, 0.000], [3.048, 5.279, 0.000], [0.000, 0.001, 7.170]],
  "species": ["Cl", "Cl", "Cl", "Cl", "Cl", "Cl", "Ni", "Co", "Tl"],
  "fractional_positions": [[0.016, 0.624, 0.681], [0.624, 0.360, 0.681], [0.624, 0.016, 0.320], [0.360, 0.624, 0.320], [0.016, 0.360, 0.320], [0.360, 0.016, 0.681], [0.667, 0.667, 0.500], [0.333, 0.333, 0.500], [0.000, 0.000, 0.000]],
  "spacegroup": "P312, No. 149",
  "magmom_total_mub_per_fu": 1.990
}

=====

Number 1: raw formation energy -10.77 eV per formula unit. Number 2: raw formation energy -10.21 eV per formula unit. Number 3: raw formation energy -13.50 eV per formula unit. Number 4: raw formation energy -8.62 eV per formula unit. Number 5: raw formation energy -7.91 eV per formula unit. Number 6: raw formation energy -9.30 eV per formula unit. Number 7: raw formation energy 1.87 eV per formula unit. Number 8: raw formation energy -10.45 eV per formula unit. Number 9: raw formation energy -10.79 eV per formula unit. Number 10: raw formation energy -14.43 eV per formula unit. Number 11: raw formation energy -5.99 eV per formula unit. Number 12: raw formation energy -5.96 eV per formula unit.